Ca5PrMg6 | Alexandria | PBE-GGA | relaxed; energy of formation from the pure elements = -0.088 eV per atom; uncorrected energy = -2.12 eV per atom; space-group type = No. 12
1.0
-1.0509 -2.5375 -4.9156
-7.0832 -2.0425 2.5683
-7.2379 4.9461 -4.1620
Ca Mg Pr
5 6 1
direct
0.6659 0.6660 0.6680
0.3336 0.8337 0.3327
0.3341 0.3340 0.3320
0.0000 0.5000 0.0000
0.6664 0.1663 0.6673
0.1654 0.9191 0.6682
0.1653 0.4125 0.6686
0.4998 0.2459 0.0002
0.8346 0.0809 0.3318
0.8347 0.5875 0.3314
0.5002 0.7541 0.9998
0.0000 0.0000 0.0000